# 1
{"formula": "Ti2NbFe", "functional": "PBE", "state": "relaxed", "n_ef_per_ev_fu": 6.150, "spacegroup": "I-42d (122)", "de_polymorph_mev_per_atom": 393.3, "cell": [[6.9561, 0.0000, 0.0000], [0.0000, 6.9561, 0.0000], [0.0000, 0.0000, 5.3367]], "species": ["Ti", "Ti", "Ti", "Ti", "Ti", "Ti", "Ti", "Ti", "Nb", "Nb", "Nb", "Nb", "Fe", "Fe", "Fe", "Fe"], "fractional_positions": [[0.2028, 0.2500, 0.1250], [0.2500, 0.7028, 0.3750], [0.2500, 0.7972, 0.8750], [0.2972, 0.2500, 0.6250], [0.7028, 0.7500, 0.6250], [0.7500, 0.2028, 0.8750], [0.7500, 0.2972, 0.3750], [0.7972, 0.7500, 0.1250], [0.0000, 0.0000, 0.5000], [0.0000, 0.5000, 0.7500], [0.5000, 0.0000, 0.2500], [0.5000, 0.5000, 0.0000], [0.0000, 0.0000, 0.0000], [0.0000, 0.5000, 0.2500], [0.5000, 0.0000, 0.7500], [0.5000, 0.5000, 0.5000]]}

# 2
{"formula": "HfMn5Al7", "functional": "PBE", "state": "relaxed", "n_ef_per_ev_fu": 9.705, "dft_energy_ev_per_cell": -85.8, "spacegroup": "Imm2 (44)", "cell": [[-2.4580, 4.3147, 4.2913], [2.4580, -4.3147, 4.2913], [2.4580, 4.3147, -4.2913]], "species": ["Hf", "Mn", "Mn", "Mn", "Mn", "Mn", "Al", "Al", "Al", "Al", "Al", "Al", "Al"], "fractional_positions": [[0.0000, 0.0000, 0.0000], [0.0095, 0.5182, 0.0103], [0.0095, 0.9992, 0.4913], [0.5079, 0.5182, 0.5087], [0.5079, 0.9992, 0.9897], [0.7759, 0.2759, 0.5000], [0.2043, 0.5013, 0.7030], [0.2285, 0.7285, 0.5000], [0.3438, 0.3438, 0.0000], [0.3558, 0.0156, 0.3402], [0.6673, 0.6673, 0.0000], [0.6754, 0.0156, 0.6598], [0.7983, 0.5013, 0.2970]]}

# 3
{"formula": "CsPN2F", "functional": "PBE", "state": "relaxed", "formation_energy_uncorrected_ev_per_atom": 0.001, "n_ef_per_ev_fu": 2.287, "spacegroup": "P4/mmm (123)", "de_polymorph_mev_per_atom": 0.0, "cell": [[3.5758, 0.0000, 0.0000], [0.0000, 3.5758, 0.0000], [0.0000, 0.0000, 6.3762]], "species": ["Cs", "P", "N", "N", "F"], "fractional_positions": [[0.0000, 0.0000, 0.0000], [0.5000, 0.5000, 0.5000], [0.0000, 0.5000, 0.5000], [0.5000, 0.0000, 0.5000], [0.5000, 0.5000, 0.0000]]}

# 4
{"formula": "ScW4S8", "functional": "PBE", "state": "relaxed", "formation_energy_uncorrected_ev_per_atom": -0.604, "n_ef_per_ev_fu": 7.075, "spacegroup": "R-3m (166)", "cell": [[3.2895, 1.8992, 6.3762], [-3.2895, 1.8992, 6.3762], [0.0000, -3.7984, 6.3762]], "species": ["Sc", "W", "W", "W", "W", "S", "S", "S", "S", "S", "S", "S", "S"], "fractional_positions": [[0.0000, 0.0000, 0.0000], [0.0000, 0.0000, 0.5000], [0.0000, 0.5000, 0.0000], [0.5000, 0.0000, 0.0000], [0.5000, 0.5000, 0.5000], [0.2470, 0.2470, 0.2470], [0.2550, 0.2550, 0.7441], [0.2550, 0.7441, 0.2550], [0.2559, 0.7450, 0.7450], [0.7441, 0.2550, 0.2550], [0.7450, 0.2559, 0.7450], [0.7450, 0.7450, 0.2559], [0.7530, 0.7530, 0.7530]]}

# 5
{"formula": "Mn2GeCN", "functional": "PBE", "state": "relaxed", "formation_energy_uncorrected_ev_per_atom": 1.256, "n_ef_per_ev_fu": 5.618, "spacegroup": "P4/mmm (123)", "cell": [[3.6011, 0.0000, 0.0000], [0.0000, 3.6011, 0.0000], [0.0000, 0.0000, 4.5156]], "species": ["Mn", "Mn", "Ge", "C", "N"], "fractional_positions": [[0.0000, 0.5000, 0.0000], [0.5000, 0.0000, 0.0000], [0.0000, 0.0000, 0.5000], [0.5000, 0.5000, 0.5000], [0.0000, 0.0000, 0.0000]]}

# 6
{"formula": "NaZnGa2Ag", "functional": "PBE", "state": "relaxed", "n_ef_per_ev_fu": 1.737, "dft_energy_ev_per_cell": -22.5, "spacegroup": "Cmme (67)", "cell": [[2.7659, -4.3576, 0.0000], [2.7659, 4.3576, 0.0000], [0.0000, 0.0000, 9.0250]], "species": ["Na", "Na", "Zn", "Zn", "Ga", "Ga", "Ga", "Ga", "Ag", "Ag"], "fractional_positions": [[0.2500, 0.7500, 0.7561], [0.7500, 0.2500, 0.2439], [0.2500, 0.2500, 0.5000], [0.7500, 0.7500, 0.5000], [0.0992, 0.9008, 0.2718], [0.4008, 0.5992, 0.2718], [0.5992, 0.4008, 0.7282], [0.9008, 0.0992, 0.7282], [0.0000, 0.0000, 0.0000], [0.5000, 0.5000, 0.0000]]}

# 7
{"formula": "InHg14Bi", "functional": "PBE", "state": "relaxed", "n_ef_per_ev_fu": 3.106, "dft_energy_ev_per_cell": -10.5, "spacegroup": "Pm (6)", "cell": [[6.2578, 0.0000, 0.0000], [0.0000, 11.1776, 0.0000], [-0.6090, 0.0000, 6.4893]], "species": ["In", "Hg", "Hg", "Hg", "Hg", "Hg", "Hg", "Hg", "Hg", "Hg", "Hg", "Hg", "Hg", "Hg", "Hg", "Bi"], "fractional_positions": [[0.0000, 0.0000, 0.0000], [0.0066, 0.0000, 0.5007], [0.0153, 0.2535, 0.7524], [0.0153, 0.7465, 0.7524], [0.0161, 0.2534, 0.2541], [0.0161, 0.7466, 0.2541], [0.2012, 0.5000, 0.0382], [0.2089, 0.5000, 0.5380], [0.5015, 0.0000, 0.9887], [0.5134, 0.2718, 0.9990], [0.5134, 0.7282, 0.9990], [0.5195, 0.2747, 0.5008], [0.5195, 0.7253, 0.5008], [0.7248, 0.5000, 0.2632], [0.7278, 0.5000, 0.7646], [0.5072, 0.0000, 0.4903]]}

# 8
{"formula": "Ag2SbAu4", "functional": "PBE", "state": "relaxed", "formation_energy_uncorrected_ev_per_atom": 0.049, "n_ef_per_ev_fu": 2.520, "spacegroup": "Fmm2 (42)", "de_polymorph_mev_per_atom": 0.0, "cell": [[0.0000, 4.9833, 2.7978], [4.9799, 0.0000, 2.7978], [4.9799, 4.9833, 0.0000]], "species": ["Ag", "Ag", "Sb", "Au", "Au", "Au", "Au"], "fractional_positions": [[0.0000, 0.0000, 0.5000], [0.5000, 0.5000, 0.0000], [0.2510, 0.2510, 0.7490], [0.5442, 0.9557, 0.0443], [0.5458, 0.9539, 0.4542], [0.9539, 0.5458, 0.0461], [0.9557, 0.5442, 0.4558]]}

- Number 2 is which compound?
  HfMn5Al7